(1)
A plane-wave DFT calculation with PBEsol was carried out for a relaxed structure of BeInSe2.

The structure belongs to space group R3m (No. 160, hexagonal axes); the cell edges are 3.7523, 3.7523 and 21.8437 Å and the angles 90.00°, 90.00° and 120.00°. Symmetry generates all atoms from Be at (0.0000, 0.0000, 0.0000), In at (0.0000, 0.0000, 0.2226), Se at (0.0000, 0.0000, 0.4884) and Se at (0.0000, 0.0000, 0.6848).

The final energy comes out at -15.73 eV/f.u. Its uncorrected formation energy is -1.0 eV/f.u. The value obtained for the total magnetization is 0.001 μB/cell. The value obtained for the excess energy over the best structure of this formula in the dataset is 14.63 kJ per mole of atoms. The density of states at the Fermi level comes out at 4.34 states/eV per cell.

(2)
A plane-wave DFT calculation with PBEsol was carried out for a relaxed structure of BeInSe2.

The structure belongs to space group Fm-3m (No. 225); the cell edges are 6.720, 6.720 and 6.720 Å and the angles 90.00°, 90.00° and 90.00°. Symmetry generates all atoms from Be at (0.000, 0.000, 0.000), In at (0.000, 0.000, 0.500) and Se at (0.250, 0.250, 0.250).

The final energy comes out at -13.60 eV/f.u. Its uncorrected formation energy is 1.1 eV/f.u. The value obtained for the total magnetization is 0.002 μB/cell. The value obtained for the excess energy over the best structure of this formula in the dataset is 66.02 kJ per mole of atoms. The density of states at the Fermi level comes out at 10.02 states/eV per cell.